1.
Below is a geometry-optimized AgGeTeO structure, with properties calculated at the PBE level.

Lattice parameters (Å, degrees): 4.0835 4.0835 9.8592 90.00 90.00 90.00
Positions (direct):
Ag 0.2500 0.2500 0.1618
Ag 0.7500 0.7500 0.8382
Ge 0.2500 0.2500 0.5644
Ge 0.7500 0.7500 0.4356
Te 0.2500 0.2500 0.8430
Te 0.7500 0.7500 0.1570
O 0.2500 0.7500 0.5000
O 0.7500 0.2500 0.5000



2.
Below is a geometry-optimized AgGeTeO structure, with properties calculated at the PBE level.

Lattice parameters (Å, degrees): 5.9031 9.1260 12.8791 90.00 90.00 90.00
Positions (direct):
Ag 0.1735 0.2089 0.1108
Ag 0.1735 0.2911 0.6108
Ag 0.3265 0.7089 0.1108
Ag 0.3265 0.7911 0.6108
Ag 0.6735 0.2089 0.3892
Ag 0.6735 0.2911 0.8892
Ag 0.8265 0.7089 0.3892
Ag 0.8265 0.7911 0.8892
Ge 0.2159 0.0155 0.2606
Ge 0.2159 0.4845 0.7606
Ge 0.2841 0.5155 0.2606
Ge 0.2841 0.9845 0.7606
Ge 0.7159 0.0155 0.2394
Ge 0.7159 0.4845 0.7394
Ge 0.7841 0.5155 0.2394
Ge 0.7841 0.9845 0.7394
Te 0.2391 0.0416 0.4863
Te 0.2391 0.4584 0.9863
Te 0.2609 0.5416 0.4863
Te 0.2609 0.9584 0.9863
Te 0.7391 0.0416 0.0137
Te 0.7391 0.4584 0.5137
Te 0.7609 0.5416 0.0137
Te 0.7609 0.9584 0.5137
O 0.0343 0.1111 0.7458
O 0.0343 0.3889 0.2458
O 0.4657 0.6111 0.7458
O 0.4657 0.8889 0.2458
O 0.5343 0.1111 0.7542
O 0.5343 0.3889 0.2542
O 0.9657 0.6111 0.7542
O 0.9657 0.8889 0.2542



3.
Below is a geometry-optimized AgGeTeO structure, with properties calculated at the PBE level.

Lattice parameters (Å, degrees): 4.1532 4.1532 9.4565 90.00 90.00 90.00
Positions (direct):
Ag 0.2500 0.7500 0.0000
Ag 0.7500 0.2500 0.0000
Ge 0.2500 0.2500 0.3512
Ge 0.7500 0.7500 0.6488
Te 0.2500 0.2500 0.7711
Te 0.7500 0.7500 0.2289
O 0.2500 0.2500 0.5331
O 0.7500 0.7500 0.4669



In meV/atom, the distance to the lowest polymorph of the same formula values for the records above are, in order, 129.2; 46.1; 317.9.
In eV per atom, the electronic total energy values for the records above are, in order, -4.253; -4.336; -4.064.